Entry 1:
# BaCaAgO3

A geometry-optimized BaCaAgO3 structure (PBE, Alexandria via LeMat-Bulk).

Cell: 3.446 6.441 9.703 Å, 103.29 90.00 90.00°
Sites, in units of the cell vectors:
Ba1 0.250 0.295 0.295
Ba2 0.750 0.705 0.705
Ca1 0.250 0.710 0.093
Ca2 0.750 0.290 0.907
Ag1 0.250 0.175 0.626
Ag2 0.750 0.825 0.374
O1 0.750 0.961 0.189
O2 0.250 0.039 0.811
O3 0.250 0.716 0.474
O4 0.750 0.284 0.526
O5 0.750 0.474 0.137
O6 0.250 0.526 0.863

For the total moment, the calculation gives 0.0 μB per cell. The calculation puts the density at 5.280 g cm⁻³. For the uncorrected formation energy, the calculation gives -10.4 eV/f.u. The total energy is -64.06 eV for the cell shown.

Entry 2:
# Ba2CaAg3O6

A geometry-optimized Ba2CaAg3O6 structure (PBE, Alexandria via LeMat-Bulk).

Cell: 4.088 4.088 12.632 Å, 90.00 90.00 90.00°
Sites, in units of the cell vectors:
Ba1 0.500 0.500 0.206
Ba2 0.500 0.500 0.794
Ca1 0.500 0.500 0.500
Ag1 0.000 0.000 0.364
Ag2 0.000 0.000 0.636
Ag3 0.000 0.000 0.000
O1 0.000 0.500 0.621
O2 0.500 0.000 0.379
O3 0.500 0.000 0.621
O4 0.000 0.000 0.162
O5 0.000 0.500 0.379
O6 0.000 0.000 0.838

For the total moment, the calculation gives 0.0 μB per cell. The calculation puts the density at 5.775 g cm⁻³. For the uncorrected formation energy, the calculation gives -16.4 eV/f.u. The total energy is -60.59 eV for the cell shown.

Entry 3:
# BaCa2AgO4

A geometry-optimized BaCa2AgO4 structure (PBE, Alexandria via LeMat-Bulk).

Cell: 3.562 6.331 12.133 Å, 90.00 90.00 106.34°
Sites, in units of the cell vectors:
Ba1 0.121 0.243 0.750
Ba2 0.879 0.757 0.250
Ca1 0.372 0.745 0.542
Ca2 0.628 0.255 0.042
Ca3 0.628 0.255 0.458
Ca4 0.372 0.745 0.958
Ag1 0.855 0.710 0.750
Ag2 0.145 0.290 0.250
O1 0.261 0.523 0.110
O2 0.739 0.477 0.610
O3 0.739 0.477 0.890
O4 0.261 0.523 0.390
O5 0.000 0.000 0.500
O6 0.000 0.000 0.000
O7 0.458 0.916 0.750
O8 0.542 0.084 0.250

For the total moment, the calculation gives 1.7 μB per cell. The calculation puts the density at 4.925 g cm⁻³. For the uncorrected formation energy, the calculation gives -16.0 eV/f.u. The total energy is -89.12 eV for the cell shown.

Entry 4:
# BaCa2AgP

A geometry-optimized BaCa2AgP structure (PBE, Alexandria via LeMat-Bulk).

Cell: 5.453 5.453 6.309 Å, 90.00 90.00 90.00°
Sites, in units of the cell vectors:
P1 0.000 0.000 0.000
Ca1 0.000 0.500 0.000
Ca2 0.500 0.000 0.000
Ba1 0.000 0.000 0.500
Ag1 0.500 0.500 0.500

For the total moment, the calculation gives 0.0 μB per cell. The calculation puts the density at 3.154 g cm⁻³. The formation enthalpy at 0 K comes out at -0.46 eV/atom. The total energy is -16.48 eV for the cell shown.